[1]
Entry from Alexandria: a PBEsol-optimized structure of CuH8C2Br3NO (meta-GGA SCAN).

Geometry as CIF:
```
data_CuH8C2Br3NO
_space_group_name_H-M_alt 'P -1'
_space_group_IT_number 2
_space_group_name_Hall '-P 1'
_cell_length_a 6.3601
_cell_length_b 8.0755
_cell_length_c 8.7224
_cell_angle_alpha 69.06
_cell_angle_beta 79.36
_cell_angle_gamma 77.44
loop_
_atom_site_label
_atom_site_type_symbol
_atom_site_fract_x
_atom_site_fract_y
_atom_site_fract_z
Cu1 Cu 0.2419 0.4408 0.1029
H1 H 0.0610 0.8502 0.2038
H2 H 0.1188 0.8206 0.5645
H3 H 0.1667 0.8829 0.7760
H4 H 0.1728 0.6526 0.4781
H5 H 0.1861 0.0464 0.0999
H6 H 0.3591 0.9922 0.3517
H7 H 0.3691 0.6955 0.5569
H8 H 0.4384 0.8129 0.2663
C1 C 0.1207 0.9603 0.2223
C2 C 0.3021 0.8843 0.3291
Br1 Br 0.1303 0.4111 0.8618
Br2 Br 0.2754 0.3834 0.3875
Br3 Br 0.4166 0.7438 0.9486
N1 N 0.2338 0.7556 0.4918
O1 O 0.0509 0.9386 0.7015
```

Summary:
**Uncorrected energy**: -9.013 eV per atom

[2]
Entry from Alexandria: a PBEsol-optimized structure of FeGe3Au (meta-GGA SCAN).

Geometry as CIF:
```
data_FeGe3Au
_space_group_name_H-M_alt 'P m -3 m'
_space_group_IT_number 221
_space_group_name_Hall '-P 4 2 3'
_cell_length_a 4.8980
_cell_length_b 4.8980
_cell_length_c 4.8980
_cell_angle_alpha 90.00
_cell_angle_beta 90.00
_cell_angle_gamma 90.00
loop_
_atom_site_label
_atom_site_type_symbol
_atom_site_fract_x
_atom_site_fract_y
_atom_site_fract_z
Fe1 Fe 0.0000 0.0000 0.0000
Ge1 Ge 0.0000 0.5000 0.5000
Au1 Au 0.5000 0.5000 0.5000
```

Summary:
**DFT formation energy**: 528 kJ/mol of formula units

[3]
Entry from Alexandria: a PBEsol-optimized structure of LiNi9O10 (meta-GGA SCAN).

Geometry as CIF:
```
data_LiNi9O10
_space_group_name_H-M_alt 'P -1'
_space_group_IT_number 2
_space_group_name_Hall '-P 1'
_cell_length_a 5.0207
_cell_length_b 5.7788
_cell_length_c 6.4761
_cell_angle_alpha 102.64
_cell_angle_beta 97.53
_cell_angle_gamma 106.84
loop_
_atom_site_label
_atom_site_type_symbol
_atom_site_fract_x
_atom_site_fract_y
_atom_site_fract_z
Li1 Li 0.0000 0.0000 0.0000
Ni1 Ni 0.0000 0.5000 0.0000
Ni2 Ni 0.1982 0.3959 0.3954
Ni3 Ni 0.2000 0.9015 0.3961
Ni4 Ni 0.3958 0.2978 0.8012
Ni5 Ni 0.4020 0.8038 0.8054
O1 O 0.1053 0.4479 0.6998
O2 O 0.1084 0.9527 0.6906
O3 O 0.3090 0.8430 0.1065
O4 O 0.3097 0.3652 0.1077
O5 O 0.4967 0.7491 0.5050
```

Summary:
**Energy relative to the elements, uncorrected**: -1.37 eV/atom

[4]
Entry from Alexandria: a PBEsol-optimized structure of YMn2Tl (meta-GGA SCAN).

Geometry as CIF:
```
data_YMn2Tl
_space_group_name_H-M_alt 'P m m m'
_space_group_IT_number 47
_space_group_name_Hall '-P 2 2'
_cell_length_a 3.2781
_cell_length_b 3.5955
_cell_length_c 6.4884
_cell_angle_alpha 90.00
_cell_angle_beta 90.00
_cell_angle_gamma 90.00
loop_
_atom_site_label
_atom_site_type_symbol
_atom_site_fract_x
_atom_site_fract_y
_atom_site_fract_z
Y1 Y 0.0000 0.0000 0.0000
Mn1 Mn 0.5000 0.5000 0.2762
Tl1 Tl 0.0000 0.0000 0.5000
```

Summary:
**DFT formation energy**: 14 kJ/mol of formula units

[5]
Entry from Alexandria: a PBEsol-optimized structure of Be2WBr (meta-GGA SCAN).

Geometry as CIF:
```
data_Be2WBr
_space_group_name_H-M_alt 'P 4/m m m'
_space_group_IT_number 123
_space_group_name_Hall '-P 4 2'
_cell_length_a 3.1489
_cell_length_b 3.1489
_cell_length_c 5.7516
_cell_angle_alpha 90.00
_cell_angle_beta 90.00
_cell_angle_gamma 90.00
loop_
_atom_site_label
_atom_site_type_symbol
_atom_site_fract_x
_atom_site_fract_y
_atom_site_fract_z
Be1 Be 0.0000 0.0000 0.1756
W1 W 0.5000 0.5000 0.0000
Br1 Br 0.5000 0.5000 0.5000
```

Summary:
**ΔE to the lowest computed polymorph**: 0.0 meV/atom
**Energy relative to the elements, uncorrected**: 0.59 eV/atom

[6]
Entry from Alexandria: a PBEsol-optimized structure of LiFe2F6 (meta-GGA SCAN).

Geometry as CIF:
```
data_LiFe2F6
_space_group_name_H-M_alt 'P 42/m n m'
_space_group_IT_number 136
_space_group_name_Hall '-P 4n 2n'
_cell_length_a 4.6740
_cell_length_b 4.6740
_cell_length_c 9.0511
_cell_angle_alpha 90.00
_cell_angle_beta 90.00
_cell_angle_gamma 90.00
loop_
_atom_site_label
_atom_site_type_symbol
_atom_site_fract_x
_atom_site_fract_y
_atom_site_fract_z
Li1 Li 0.0000 0.0000 0.0000
Fe1 Fe 0.0000 0.0000 0.3375
F1 F 0.2022 0.2022 0.1699
F2 F 0.2048 0.2048 0.5000
```

Summary:
**Energy relative to the elements, uncorrected**: -2.66 eV/atom

no.,size of the total moment (Bohr magnetons per cell),density (g/cm³)
1,2.0,2.99
2,3.3,6.65
3,0.9,6.73
4,7.2,8.75
5,0.0,8.20
6,18.0,3.91